# SrSiAg, relaxed, DFT PBEsol
# SG: No. 187
# ΔE_f (raw): -0.344 eV per atom
data_SrSiAg
_chemical_formula_sum 'Sr1 Si1 Ag1'
_symmetry_space_group_name_H-M 'P 1'
_symmetry_Int_Tables_number 1
_symmetry_space_group_name_Hall 'P 1'
_cell_length_a 4.3617
_cell_length_b 4.3617
_cell_length_c 4.3907
_cell_angle_alpha 90.00
_cell_angle_beta 90.00
_cell_angle_gamma 120.00
loop_
_atom_site_label
_atom_site_fract_x
_atom_site_fract_y
_atom_site_fract_z
_atom_site_occupancy
Sr1 0.0000 0.0000 0.0000 1
Si1 0.6667 0.3333 0.5000 1
Ag1 0.3333 0.6667 0.5000 1



# CsSnN2F, relaxed, DFT PBEsol
# SG: No. 123
# ΔE_f (raw): 1.303 eV per atom
data_CsSnN2F
_chemical_formula_sum 'Cs1 Sn1 N2 F1'
_symmetry_space_group_name_H-M 'P 1'
_symmetry_Int_Tables_number 1
_symmetry_space_group_name_Hall 'P 1'
_cell_length_a 4.3440
_cell_length_b 4.3440
_cell_length_c 4.9517
_cell_angle_alpha 90.00
_cell_angle_beta 90.00
_cell_angle_gamma 90.00
loop_
_atom_site_label
_atom_site_fract_x
_atom_site_fract_y
_atom_site_fract_z
_atom_site_occupancy
Cs1 0.0000 0.0000 0.0000 1
Sn1 0.5000 0.5000 0.5000 1
N1 0.0000 0.5000 0.0000 1
N2 0.5000 0.0000 0.0000 1
F1 0.0000 0.0000 0.5000 1



# Hf2MnIr, relaxed, DFT PBEsol
# SG: No. 225
# Energy relative to the elements: -0.633 eV per atom
data_Hf2MnIr
_chemical_formula_sum 'Hf8 Mn4 Ir4'
_symmetry_space_group_name_H-M 'P 1'
_symmetry_Int_Tables_number 1
_symmetry_space_group_name_Hall 'P 1'
_cell_length_a 6.3502
_cell_length_b 6.3502
_cell_length_c 6.3502
_cell_angle_alpha 90.00
_cell_angle_beta 90.00
_cell_angle_gamma 90.00
loop_
_atom_site_label
_atom_site_fract_x
_atom_site_fract_y
_atom_site_fract_z
_atom_site_occupancy
Hf1 0.2500 0.2500 0.2500 1
Hf2 0.2500 0.2500 0.7500 1
Hf3 0.2500 0.7500 0.2500 1
Hf4 0.2500 0.7500 0.7500 1
Hf5 0.7500 0.2500 0.2500 1
Hf6 0.7500 0.2500 0.7500 1
Hf7 0.7500 0.7500 0.2500 1
Hf8 0.7500 0.7500 0.7500 1
Mn1 0.0000 0.0000 0.0000 1
Mn2 0.0000 0.5000 0.5000 1
Mn3 0.5000 0.0000 0.5000 1
Mn4 0.5000 0.5000 0.0000 1
Ir1 0.0000 0.0000 0.5000 1
Ir2 0.0000 0.5000 0.0000 1
Ir3 0.5000 0.0000 0.0000 1
Ir4 0.5000 0.5000 0.5000 1



# BeRu2Pb, relaxed, DFT PBEsol
# SG: No. 119
# Energy relative to the elements: 0.578 eV per atom
data_BeRu2Pb
_chemical_formula_sum 'Be2 Ru4 Pb2'
_symmetry_space_group_name_H-M 'P 1'
_symmetry_Int_Tables_number 1
_symmetry_space_group_name_Hall 'P 1'
_cell_length_a 3.8555
_cell_length_b 3.8555
_cell_length_c 7.8958
_cell_angle_alpha 90.00
_cell_angle_beta 90.00
_cell_angle_gamma 90.00
loop_
_atom_site_label
_atom_site_fract_x
_atom_site_fract_y
_atom_site_fract_z
_atom_site_occupancy
Be1 0.0000 0.0000 0.0000 1
Be2 0.5000 0.5000 0.5000 1
Ru1 0.0000 0.0000 0.5000 1
Ru2 0.0000 0.5000 0.7500 1
Ru3 0.5000 0.0000 0.2500 1
Ru4 0.5000 0.5000 0.0000 1
Pb1 0.0000 0.5000 0.2500 1
Pb2 0.5000 0.0000 0.7500 1